Entry 1:
Compound: BaRe
Source: Alexandria via LeMat-Bulk
Functional: GGA-PBE
Structure: relaxed

The density of states at the Fermi level comes out at 10.9 states/eV per cell. The value obtained for the density is 8.929 g/cm3. For the formation energy, the calculation gives 1.28 eV per atom. Its crystal system is hexagonal.

The space group is P6_3/mmc (No. 194) and the conventional cell measures 5.7973, 5.7973 and 8.2689 Å, with angles of 90.00, 90.00 and 120.00 degrees. The inequivalent atoms are Ba at (0.0000, 0.0000, 0.2500), Ba at (0.3333, 0.6667, 0.2500) and Re at (0.3333, 0.6667, 0.6164).

---

Entry 2:
Compound: Ba2Re3
Source: Alexandria via LeMat-Bulk
Functional: GGA-PBE
Structure: relaxed

The density of states at the Fermi level comes out at 6.4 states/eV per cell. The value obtained for the density is 10.072 g/cm3. For the formation energy, the calculation gives 1.37 eV per atom. Its crystal system is trigonal.

The space group is P-3m1 (No. 164) and the conventional cell measures 3.6515, 3.6515 and 11.8971 Å, with angles of 90.00, 90.00 and 120.00 degrees. The inequivalent atoms are Ba at (0.3333, 0.6667, 0.2982), Re at (0.0000, 0.0000, 0.5000) and Re at (0.3333, 0.6667, 0.9523).

---

Entry 3:
Compound: Ba2ReRh
Source: Alexandria via LeMat-Bulk
Functional: GGA-PBE
Structure: relaxed

The density of states at the Fermi level comes out at 26.5 states/eV per cell. The value obtained for the density is 8.117 g/cm3. For the formation energy, the calculation gives 1.08 eV per atom. Its crystal system is cubic.

The space group is Fm-3m (No. 225) and the conventional cell measures 7.727, 7.727 and 7.727 Å, with angles of 90.00, 90.00 and 90.00 degrees. The inequivalent atoms are Ba at (0.250, 0.250, 0.250), Re at (0.000, 0.000, 0.000) and Rh at (0.000, 0.000, 0.500).

---

Entry 4:
Compound: Ba2ReRh
Source: Alexandria via LeMat-Bulk
Functional: GGA-PBE
Structure: relaxed

The density of states at the Fermi level comes out at 8.4 states/eV per cell. The value obtained for the density is 7.304 g/cm3. For the formation energy, the calculation gives 0.39 eV per atom. Its crystal system is orthorhombic.

The space group is Amm2 (No. 38) and the conventional cell measures 4.312, 5.092 and 11.675 Å, with angles of 90.00, 90.00 and 90.00 degrees. The inequivalent atoms are Ba at (0.000, 0.000, 0.000), Ba at (0.500, 0.000, 0.287), Re at (0.000, 0.000, 0.689) and Rh at (0.500, 0.000, 0.599).

---

Entry 5:
Compound: Ba2ReRh
Source: Alexandria via LeMat-Bulk
Functional: GGA-PBE
Structure: relaxed

The density of states at the Fermi level comes out at 16.4 states/eV per cell. The value obtained for the density is 5.728 g/cm3. For the formation energy, the calculation gives 0.75 eV per atom. Its crystal system is tetragonal.

The space group is I-42d (No. 122) and the conventional cell measures 11.706, 11.706 and 4.771 Å, with angles of 90.00, 90.00 and 90.00 degrees. The inequivalent atoms are Ba at (0.079, 0.250, 0.125), Re at (0.000, 0.000, 0.500) and Rh at (0.000, 0.000, 0.000).

---

Entry 6:
Compound: Ba2ReRh
Source: Alexandria via LeMat-Bulk
Functional: GGA-PBE
Structure: relaxed

The density of states at the Fermi level comes out at 9.0 states/eV per cell. The value obtained for the density is 7.659 g/cm3. For the formation energy, the calculation gives 0.53 eV per atom. Its crystal system is orthorhombic.

The space group is Cmm2 (No. 35) and the conventional cell measures 4.713, 5.312 and 9.765 Å, with angles of 90.00, 90.00 and 90.00 degrees. The inequivalent atoms are Ba at (0.000, 0.000, 0.000), Ba at (0.000, 0.500, 0.424), Re at (0.000, 0.000, 0.675) and Rh at (0.000, 0.500, 0.757).

---

Entry 7:
Compound: BaRe2Rh
Source: Alexandria via LeMat-Bulk
Functional: GGA-PBE
Structure: relaxed

The density of states at the Fermi level comes out at 10.4 states/eV per cell. The value obtained for the density is 13.040 g/cm3. For the formation energy, the calculation gives 0.92 eV per atom. Its crystal system is orthorhombic.

The space group is Immm (No. 71) and the conventional cell measures 2.855, 4.943 and 11.056 Å, with angles of 90.00, 90.00 and 90.00 degrees. The inequivalent atoms are Ba at (0.000, 0.000, 0.000), Re at (0.000, 0.500, 0.215) and Rh at (0.000, 0.000, 0.500).

---

Entry 8:
Compound: BaRe2Rh
Source: Alexandria via LeMat-Bulk
Functional: GGA-PBE
Structure: relaxed

The density of states at the Fermi level comes out at 14.5 states/eV per cell. The value obtained for the density is 13.380 g/cm3. For the formation energy, the calculation gives 1.03 eV per atom. Its crystal system is trigonal.

The space group is R-3m (No. 166, hexagonal axes) and the conventional cell measures 2.8979, 2.8979 and 31.3628 Å, with angles of 90.00, 90.00 and 120.00 degrees. The inequivalent atoms are Ba at (0.0000, 0.0000, 0.0000), Re at (0.0000, 0.0000, 0.2346) and Rh at (0.0000, 0.0000, 0.5000).

---

Entry 9:
Compound: Ba3ReRh
Source: Alexandria via LeMat-Bulk
Functional: GGA-PBE
Structure: relaxed

The density of states at the Fermi level comes out at 4.8 states/eV per cell. The value obtained for the density is 5.705 g/cm3. For the formation energy, the calculation gives 0.94 eV per atom. Its crystal system is cubic.

The space group is Pm-3m (No. 221) and the conventional cell measures 5.887, 5.887 and 5.887 Å, with angles of 90.00, 90.00 and 90.00 degrees. The inequivalent atoms are Ba at (0.000, 0.000, 0.500), Re at (0.500, 0.500, 0.500) and Rh at (0.000, 0.000, 0.000).

---

Entry 10:
Compound: BaRe2Rh
Source: Alexandria via LeMat-Bulk
Functional: GGA-PBE
Structure: relaxed

The density of states at the Fermi level comes out at 9.9 states/eV per cell. The value obtained for the density is 10.964 g/cm3. For the formation energy, the calculation gives 0.61 eV per atom. Its crystal system is monoclinic.

The space group is Cm (No. 8) and the conventional cell measures 8.831, 3.226 and 6.684 Å, with angles of 90.00, 102.96 and 90.00 degrees. The inequivalent atoms are Ba at (0.000, 0.000, 0.000), Re at (0.207, 0.000, 0.608), Re at (0.497, 0.000, 0.513) and Rh at (0.276, 0.500, 0.328).

---

Entry 11:
Compound: BaRe2Rh
Source: Alexandria via LeMat-Bulk
Functional: GGA-PBE
Structure: relaxed

The density of states at the Fermi level comes out at 6.7 states/eV per cell. The value obtained for the density is 12.596 g/cm3. For the formation energy, the calculation gives 1.33 eV per atom. Its crystal system is tetragonal.

The space group is P4/mmm (No. 123) and the conventional cell measures 3.852, 3.852 and 5.444 Å, with angles of 90.00, 90.00 and 90.00 degrees. The inequivalent atoms are Ba at (0.000, 0.000, 0.000), Re at (0.000, 0.500, 0.500) and Rh at (0.500, 0.500, 0.000).

---

Entry 12:
Compound: Ba2ReRh
Source: Alexandria via LeMat-Bulk
Functional: GGA-PBE
Structure: relaxed

The density of states at the Fermi level comes out at 4.8 states/eV per cell. The value obtained for the density is 8.642 g/cm3. For the formation energy, the calculation gives 1.02 eV per atom. Its crystal system is tetragonal.

The space group is P4/mmm (No. 123) and the conventional cell measures 3.481, 3.481 and 8.938 Å, with angles of 90.00, 90.00 and 90.00 degrees. The inequivalent atoms are Ba at (0.000, 0.000, 0.235), Re at (0.500, 0.500, 0.500) and Rh at (0.500, 0.500, 0.000).

---

Entry 13:
Compound: Ba2ReRh
Source: Alexandria via LeMat-Bulk
Functional: GGA-PBE
Structure: relaxed

The density of states at the Fermi level comes out at 4.6 states/eV per cell. The value obtained for the density is 7.894 g/cm3. For the formation energy, the calculation gives 0.54 eV per atom. Its crystal system is orthorhombic.

The space group is Pmm2 (No. 25) and the conventional cell measures 3.177, 3.841 and 9.718 Å, with angles of 90.00, 90.00 and 90.00 degrees. The inequivalent atoms are Ba at (0.000, 0.000, 0.000), Ba at (0.500, 0.500, 0.421), Re at (0.000, 0.000, 0.671) and Rh at (0.500, 0.500, 0.757).

---

Entry 14:
Compound: BaRe2Rh
Source: Alexandria via LeMat-Bulk
Functional: GGA-PBE
Structure: relaxed

The density of states at the Fermi level comes out at 10.4 states/eV per cell. The value obtained for the density is 12.406 g/cm3. For the formation energy, the calculation gives 1.37 eV per atom. Its crystal system is tetragonal.

The space group is I4/mmm (No. 139) and the conventional cell measures 3.826, 3.826 and 11.206 Å, with angles of 90.00, 90.00 and 90.00 degrees. The inequivalent atoms are Ba at (0.000, 0.000, 0.000), Re at (0.000, 0.500, 0.250) and Rh at (0.000, 0.000, 0.500).

---

Entry 15:
Compound: Ba2ReRh
Source: Alexandria via LeMat-Bulk
Functional: GGA-PBE
Structure: relaxed

The density of states at the Fermi level comes out at 9.2 states/eV per cell. The value obtained for the density is 7.139 g/cm3. For the formation energy, the calculation gives 0.46 eV per atom. Its crystal system is orthorhombic.

The space group is Imm2 (No. 44) and the conventional cell measures 4.201, 5.125 and 12.181 Å, with angles of 90.00, 90.00 and 90.00 degrees. The inequivalent atoms are Ba at (0.000, 0.000, 0.000), Ba at (0.000, 0.500, 0.227), Re at (0.000, 0.000, 0.411) and Rh at (0.000, 0.500, 0.820).

---

Entry 16:
Compound: BaRe2Rh
Source: Alexandria via LeMat-Bulk
Functional: GGA-PBE
Structure: relaxed

The density of states at the Fermi level comes out at 12.4 states/eV per cell. The value obtained for the density is 12.969 g/cm3. For the formation energy, the calculation gives 1.37 eV per atom. Its crystal system is orthorhombic.

The space group is Cmmm (No. 65) and the conventional cell measures 5.386, 10.252 and 2.841 Å, with angles of 90.00, 90.00 and 90.00 degrees. The inequivalent atoms are Ba at (0.000, 0.000, 0.000), Re at (0.250, 0.250, 0.500) and Rh at (0.000, 0.500, 0.000).

---

Entry 17:
Compound: BaRe2Rh
Source: Alexandria via LeMat-Bulk
Functional: GGA-PBE
Structure: relaxed

The density of states at the Fermi level comes out at 18.9 states/eV per cell. The value obtained for the density is 13.485 g/cm3. For the formation energy, the calculation gives 1.20 eV per atom. Its crystal system is cubic.

The space group is F-43m (No. 216) and the conventional cell measures 6.707, 6.707 and 6.707 Å, with angles of 90.00, 90.00 and 90.00 degrees. The inequivalent atoms are Ba at (0.000, 0.000, 0.000), Re at (0.000, 0.000, 0.500), Re at (0.250, 0.250, 0.250) and Rh at (0.250, 0.250, 0.750).

---

Entry 18:
Compound: BaRe4Rh
Source: Alexandria via LeMat-Bulk
Functional: GGA-PBE
Structure: relaxed

The density of states at the Fermi level comes out at 42.8 states/eV per cell. The value obtained for the density is 14.601 g/cm3. For the formation energy, the calculation gives 0.96 eV per atom. Its crystal system is cubic.

The space group is F-43m (No. 216) and the conventional cell measures 7.652, 7.652 and 7.652 Å, with angles of 90.00, 90.00 and 90.00 degrees. The inequivalent atoms are Ba at (0.000, 0.000, 0.000), Re at (0.124, 0.124, 0.624) and Rh at (0.250, 0.250, 0.250).

---

Entry 19:
Compound: BaRe2Rh
Source: Alexandria via LeMat-Bulk
Functional: GGA-PBE
Structure: relaxed

The density of states at the Fermi level comes out at 4.0 states/eV per cell. The value obtained for the density is 9.884 g/cm3. For the formation energy, the calculation gives 0.85 eV per atom. Its crystal system is monoclinic.

The space group is P2/m (No. 10) and the conventional cell measures 3.861, 4.706 and 5.828 Å, with angles of 90.00, 103.62 and 90.00 degrees. The inequivalent atoms are Ba at (0.000, 0.000, 0.000), Re at (0.289, 0.500, 0.619) and Rh at (0.500, 0.000, 0.500).

---

Entry 20:
Compound: BaRe2Rh
Source: Alexandria via LeMat-Bulk
Functional: GGA-PBE
Structure: relaxed

The density of states at the Fermi level comes out at 25.0 states/eV per cell. The value obtained for the density is 9.459 g/cm3. For the formation energy, the calculation gives 1.02 eV per atom. Its crystal system is tetragonal.

The space group is I4_1/amd (No. 141, origin choice 2) and the conventional cell measures 4.936, 4.936 and 17.660 Å, with angles of 90.00, 90.00 and 90.00 degrees. The inequivalent atoms are Ba at (0.000, 0.250, 0.375), Re at (0.000, 0.000, 0.000) and Rh at (0.000, 0.250, 0.875).